Record 1
The following is a DFT calculation (PBE) of crystalline Nd3Sm2Se6 at its relaxed geometry.

Values from the calculation:
As for the uncorrected formation energy: -1.82 eV/atom. The value obtained for the excess energy over the best structure of this formula in the dataset is 0.068 eV/atom. For the density of states at the Fermi level, the calculation gives 0.43 states/eV/atom. As for the space-group type: R-3m, No. 166.

Cell lengths 20.7999, 20.7999, 20.7999 Å; angles 11.71, 11.71, 11.71 degrees
Element x y z (fractional)
Nd  0.0000  0.0000  0.0000
Nd  0.2787  0.2787  0.2787
Nd  0.7213  0.7213  0.7213
Sm  0.4475  0.4475  0.4475
Sm  0.5525  0.5525  0.5525
Se  0.0837  0.0837  0.0837
Se  0.1966  0.1966  0.1966
Se  0.3610  0.3610  0.3610
Se  0.6390  0.6390  0.6390
Se  0.8034  0.8034  0.8034
Se  0.9163  0.9163  0.9163



Record 2
The following is a DFT calculation (PBE) of crystalline Mg3Tc at its relaxed geometry.

Values from the calculation:
For the density of states at the Fermi level, the calculation gives 1.19 states/eV/atom. The calculation puts the formation energy at 0.337 eV per atom. As for the space-group type: P6_3/mmc, No. 194.

Cell lengths 4.6677, 4.6677, 8.3708 Å; angles 90.00, 90.00, 120.00 degrees
Element x y z (fractional)
Mg  0.0000  0.0000  0.2500
Mg  0.0000  0.0000  0.7500
Mg  0.3333  0.6667  0.0790
Mg  0.3333  0.6667  0.4210
Mg  0.6667  0.3333  0.5790
Mg  0.6667  0.3333  0.9210
Tc  0.3333  0.6667  0.7500
Tc  0.6667  0.3333  0.2500



Record 3
The following is a DFT calculation (PBE) of crystalline Rb2UBi2Se6 at its relaxed geometry.

Values from the calculation:
As for the uncorrected formation energy: -0.91 eV/atom. For the density of states at the Fermi level, the calculation gives 0.59 states/eV/atom. As for the space-group type: C2/m, No. 12.

Cell lengths 7.3753, 7.3753, 8.6082 Å; angles 98.60, 98.60, 119.70 degrees
Element x y z (fractional)
Rb  0.1706  0.8294  0.0000
Rb  0.8294  0.1706  0.0000
U  0.0000  0.0000  0.5000
Bi  0.3309  0.6691  0.5000
Bi  0.6691  0.3309  0.5000
Se  0.0681  0.3905  0.6958
Se  0.2506  0.2506  0.3065
Se  0.3905  0.0681  0.6958
Se  0.6095  0.9319  0.3042
Se  0.7494  0.7494  0.6935
Se  0.9319  0.6095  0.3042



Record 4
The following is a DFT calculation (PBE) of crystalline Li12Mg at its relaxed geometry.

Values from the calculation:
The value obtained for the excess energy over the best structure of this formula in the dataset is 0.042 eV/atom. For the density of states at the Fermi level, the calculation gives 0.34 states/eV/atom. The calculation puts the formation energy at 0.534 eV per atom. As for the space-group type: Pm-3m, No. 221.

Cell lengths 7.2818, 7.2818, 7.2818 Å; angles 90.00, 90.00, 90.00 degrees
Element x y z (fractional)
Li  0.0000  0.2479  0.5000
Li  0.0000  0.5000  0.2479
Li  0.0000  0.5000  0.7521
Li  0.0000  0.7521  0.5000
Li  0.2479  0.0000  0.5000
Li  0.2479  0.5000  0.0000
Li  0.5000  0.0000  0.2479
Li  0.5000  0.0000  0.7521
Li  0.5000  0.2479  0.0000
Li  0.5000  0.7521  0.0000
Li  0.7521  0.0000  0.5000
Li  0.7521  0.5000  0.0000
Mg  0.0000  0.0000  0.0000